# GGA-PBE KSiSb2, optimized geometry
data_KSiSb2
_cell_length_a 4.580
_cell_length_b 5.105
_cell_length_c 9.336
_cell_angle_alpha 90.00
_cell_angle_beta 90.00
_cell_angle_gamma 90.00
_symmetry_space_group_name_H-M 'C m m m'
_symmetry_Int_Tables_number 65
_symmetry_space_group_name_Hall '-C 2 2'
loop_
_atom_site_label
_atom_site_type_symbol
_atom_site_fract_x
_atom_site_fract_y
_atom_site_fract_z
K1 K 0.000 0.000 0.000
Si1 Si 0.000 0.000 0.500
Sb1 Sb 0.000 0.500 0.299
# DOS(E_F) (states/eV/cell): 3.10
# Formation energy from raw total energies (eV per atom): 0.185
# Magnetic moment (μB/atom): 0.000

# GGA-PBE Cu2AuCl, optimized geometry
data_Cu2AuCl
_cell_length_a 3.2230
_cell_length_b 3.2230
_cell_length_c 21.7174
_cell_angle_alpha 90.00
_cell_angle_beta 90.00
_cell_angle_gamma 120.00
_symmetry_space_group_name_H-M 'R -3 m'
_symmetry_Int_Tables_number 166
_symmetry_space_group_name_Hall '-R 3 2"'
loop_
_atom_site_label
_atom_site_type_symbol
_atom_site_fract_x
_atom_site_fract_y
_atom_site_fract_z
Cu1 Cu 0.0000 0.0000 0.2475
Au1 Au 0.0000 0.0000 0.0000
Cl1 Cl 0.0000 0.0000 0.5000
# Relative energy among the computed polymorphs (meV/atom): 122
# DOS(E_F) (states/eV/cell): 4.51
# Formation energy from raw total energies (eV per atom): 0.022
# Magnetic moment (μB/atom): 0.000

# GGA-PBE TmScPb2, optimized geometry
data_TmScPb2
_cell_length_a 4.927
_cell_length_b 4.927
_cell_length_c 4.311
_cell_angle_alpha 90.00
_cell_angle_beta 90.00
_cell_angle_gamma 90.00
_symmetry_space_group_name_H-M 'P 4/m m m'
_symmetry_Int_Tables_number 123
_symmetry_space_group_name_Hall '-P 4 2'
loop_
_atom_site_label
_atom_site_type_symbol
_atom_site_fract_x
_atom_site_fract_y
_atom_site_fract_z
Tm1 Tm 0.000 0.000 0.000
Sc1 Sc 0.500 0.500 0.000
Pb1 Pb 0.000 0.500 0.500
# DOS(E_F) (states/eV/cell): 4.99
# ΔE_f (meV per atom): -325.3
# Magnetic moment (μB/atom): 0.035

# GGA-PBE AlReO3, optimized geometry
data_AlReO3
_cell_length_a 3.907
_cell_length_b 3.907
_cell_length_c 3.907
_cell_angle_alpha 90.00
_cell_angle_beta 90.00
_cell_angle_gamma 90.00
_symmetry_space_group_name_H-M 'P m -3 m'
_symmetry_Int_Tables_number 221
_symmetry_space_group_name_Hall '-P 4 2 3'
loop_
_atom_site_label
_atom_site_type_symbol
_atom_site_fract_x
_atom_site_fract_y
_atom_site_fract_z
Al1 Al 0.000 0.000 0.000
Re1 Re 0.500 0.500 0.500
O1 O 0.000 0.500 0.500
# DOS(E_F) (states/eV/cell): 1.80
# Formation energy from raw total energies (eV per atom): -0.993
# Magnetic moment (μB/atom): 0.000